Record 1
An optimized crystal structure of KCuPdO2. Source: Alexandria, functional PBE.

Unit cell a=4.0680 b=6.8178 c=7.0298 alpha=119.01 beta=90.00 gamma=90.00
With the nearest neighbours (Å) after each atom.
Fractional positions:
K (0.1924, 0.7500, 0.5000)  4 O 2.65-2.88
K (0.8076, 0.2500, 0.5000)  4 O 2.65-2.88
Cu (0.0000, 0.0000, 0.0000)  2 O 1.86
Cu (0.0000, 0.5000, 0.0000)  2 O 1.86
Pd (0.5000, 0.7500, 0.0000)  4 O 2.18
Pd (0.5000, 0.2500, 0.0000)  4 O 2.18
O (0.6536, 0.9018, 0.8035)  1 Cu 1.86
O (0.6536, 0.5982, 0.1965)  1 Cu 1.86
O (0.3464, 0.4018, 0.8035)  1 Cu 1.86
O (0.3464, 0.0982, 0.1965)  1 Cu 1.86

SG ... No. 67

Record 2
An optimized crystal structure of KCuPdO3. Source: Alexandria, functional PBE.

Unit cell a=3.2941 b=6.6060 c=8.4822 alpha=90.00 beta=90.00 gamma=104.44
With the nearest neighbours (Å) after each atom.
Fractional positions:
K (0.6961, 0.3922, 0.7500)  4 O 2.65-2.70
K (0.3039, 0.6078, 0.2500)  4 O 2.65-2.70
Cu (0.4193, 0.8386, 0.7500)  2 O 1.85
Cu (0.5807, 0.1614, 0.2500)  2 O 1.85
Pd (0.0000, 0.0000, 0.5000)  6 O 2.12-2.17
Pd (0.0000, 0.0000, 0.0000)  6 O 2.12-2.17
O (0.6019, 0.2038, 0.4656)  1 Cu 1.85
O (0.3981, 0.7962, 0.5344)  1 Cu 1.85
O (0.3981, 0.7962, 0.9656)  1 Cu 1.85
O (0.6019, 0.2038, 0.0344)  1 Cu 1.85
O (0.0343, 0.0686, 0.7500)  2 Pd 2.17, 2 Cu 2.21
O (0.9657, 0.9314, 0.2500)  2 Pd 2.17, 2 Cu 2.21

SG ... No. 63

Record 3
An optimized crystal structure of K2PmCuO4. Source: Alexandria, functional PBE.

Unit cell a=5.5795 b=5.5795 c=5.5795 alpha=101.97 beta=113.35 gamma=113.35
With the nearest neighbours (Å) after each atom.
Fractional positions:
K (0.5000, 0.7500, 0.2500)  8 O 2.83-2.92
K (0.0000, 0.0000, 0.0000)  4 O 2.61
Pm (0.5000, 0.2500, 0.7500)  4 O 2.26
Cu (0.0000, 0.5000, 0.5000)  4 O 1.88
O (0.5875, 0.3069, 0.3970)  1 Cu 1.88
O (0.0900, 0.2806, 0.6931)  1 Cu 1.88
O (0.9100, 0.6030, 0.1906)  1 Cu 1.88
O (0.4125, 0.8094, 0.7194)  1 Cu 1.88

SG ... No. 82

no.,energy (eV per atom),formation energy (no corrections) (kJ/mol of formula units)
1,-4.658,-288
2,-4.839,-364
3,-5.526,-1286